Entry 1:
The following is a DFT calculation (PBE) of a relaxed Zr2Nb2Al crystal.

Values from the calculation:
**Crystal system**: tetragonal
**Calculated total energy**: -7.566 eV per atom
**Total magnetic moment**: 0.01 μB per cell

Cell: 7.495 7.495 7.495 Å, 149.52 149.52 43.65°
Sites, in units of the cell vectors:
Al 0.000 0.000 0.000
Nb 0.416 0.416 0.000
Nb 0.584 0.584 0.000
Zr 0.750 0.250 0.500
Zr 0.250 0.750 0.500

Entry 2:
The following is a DFT calculation (PBE) of a relaxed ZrNb2Al2 crystal.

Values from the calculation:
**Crystal system**: tetragonal
**Calculated total energy**: -7.462 eV per atom
**Total magnetic moment**: 0.01 μB per cell

Cell: 6.856 6.856 6.856 Å, 147.04 147.04 47.31°
Sites, in units of the cell vectors:
Al 0.403 0.403 0.000
Al 0.597 0.597 0.000
Nb 0.750 0.250 0.500
Nb 0.250 0.750 0.500
Zr 0.000 0.000 0.000

Entry 3:
The following is a DFT calculation (PBE) of a relaxed NdAl crystal.

Values from the calculation:
**Crystal system**: cubic
**Calculated total energy**: -3.383 eV per atom
**Total magnetic moment**: 0.00 μB per cell

Cell: 4.878 4.878 4.878 Å, 60.00 60.00 60.00°
Sites, in units of the cell vectors:
Al 0.000 0.000 0.000
Nd 0.250 0.250 0.250

Entry 4:
The following is a DFT calculation (PBE) of a relaxed NdAl crystal.

Values from the calculation:
**Crystal system**: cubic
**Calculated total energy**: -4.607 eV per atom
**Total magnetic moment**: 0.00 μB per cell

Cell: 3.728 3.728 3.728 Å, 90.00 90.00 90.00°
Sites, in units of the cell vectors:
Al 0.000 0.000 0.000
Nd 0.500 0.500 0.500

Entry 5:
The following is a DFT calculation (PBE) of a relaxed NdAl5 crystal.

Values from the calculation:
**Crystal system**: hexagonal
**Calculated total energy**: -4.133 eV per atom
**Total magnetic moment**: 0.00 μB per cell

Cell: 5.623 5.623 4.346 Å, 90.00 90.00 120.00°
Sites, in units of the cell vectors:
Al 0.667 0.333 0.000
Al 0.333 0.667 0.000
Al 0.500 0.000 0.500
Al 0.000 0.500 0.500
Al 0.500 0.500 0.500
Nd 0.000 0.000 0.000

Entry 6:
The following is a DFT calculation (PBE) of a relaxed Nd3Al crystal.

Values from the calculation:
**Crystal system**: tetragonal
**Distance to the lowest polymorph of the same formula**: 32 meV per atom
**Total magnetic moment**: 0.05 μB per cell

Cell: 6.065 6.065 6.065 Å, 133.21 133.21 68.32°
Sites, in units of the cell vectors:
Al 0.000 0.000 0.000
Nd 0.500 0.500 0.000
Nd 0.750 0.250 0.500
Nd 0.250 0.750 0.500